TiCr | PBE | relaxed

As for the symmetry: F-43m, No. 216.

Unit cell a=3.9826 b=3.9826 c=3.9826 alpha=60.00 beta=60.00 gamma=60.00
With the nearest neighbours (Å) after each atom.
Positions (direct):
Ti (0.0000, 0.0000, 0.0000)  4 Cr 2.44
Cr (0.7500, 0.7500, 0.7500)  4 Ti 2.44

=====

SrBe2Mo | PBE | relaxed

As for the symmetry: C2/m, No. 12.

Unit cell a=4.4667 b=4.4667 c=6.1269 alpha=101.43 beta=101.43 gamma=37.83
With the nearest neighbours (Å) after each atom.
Positions (direct):
Sr (0.0000, 0.0000, 0.0000)  2 Sr 2.90, 4 Be 3.17
Be (0.2396, 0.2396, 0.6271)  2 Be 2.16
Be (0.7604, 0.7604, 0.3729)  2 Be 2.16
Mo (0.5000, 0.5000, 0.5000)  6 Be 2.48

=====

| no. | total energy (eV/atom) | formation energy (eV/atom) | Fermi-level density of states (states/eV/cell) |
| --- | --- | --- | --- |
| 1 | -6.714 | 2.04 | 3.49 |
| 2 | -4.366 | 0.63 | 2.59 |